VASP calculation (PBE-GGA) on a geometry-optimized Li2AsPb2 structure.

Lattice parameters (Å, degrees): 6.914 6.914 4.664 90.00 90.00 90.00
Space group P4/mbm (No. 127)
One atom of each set of equivalent atoms:
Li: 0.150 0.350 0.000 (multiplicity 4)
As: 0.000 0.000 0.000 (multiplicity 2)
Pb: 0.168 0.668 0.500 (multiplicity 4)

The calculated volume comes out at 223 Å³/cell. For the density of states at the Fermi level, the calculation gives 5.207 states/eV per cell. As for the energy relative to the lowest polymorph listed for this composition: 0 meV/atom.

VASP calculation (PBE-GGA) on a geometry-optimized Li2AsPb structure.

Lattice parameters (Å, degrees): 4.171 4.171 9.259 90.00 90.00 90.00
Space group I-4m2 (No. 119)
One atom of each set of equivalent atoms:
Li: 0.000 0.000 0.000 (multiplicity 2)
Li: 0.000 0.500 0.250 (multiplicity 2)
As: 0.000 0.000 0.500 (multiplicity 2)
Pb: 0.000 0.500 0.750 (multiplicity 2)

The calculated volume comes out at 161 Å³/cell. For the density of states at the Fermi level, the calculation gives 2.060 states/eV per cell. As for the energy relative to the lowest polymorph listed for this composition: 64 meV/atom.

VASP calculation (PBE-GGA) on a geometry-optimized LiAsPb3 structure.

Lattice parameters (Å, degrees): 5.126 5.126 5.126 90.00 90.00 90.00
Space group Pm-3m (No. 221)
One atom of each set of equivalent atoms:
Li: 0.000 0.000 0.000 (multiplicity 1)
As: 0.500 0.500 0.500 (multiplicity 1)
Pb: 0.000 0.000 0.500 (multiplicity 3)

The calculated volume comes out at 135 Å³/cell. For the density of states at the Fermi level, the calculation gives 2.468 states/eV per cell. As for the energy relative to the lowest polymorph listed for this composition: 0 meV/atom.

VASP calculation (PBE-GGA) on a geometry-optimized LiAs2Pb structure.

Lattice parameters (Å, degrees): 8.766 3.607 5.914 90.00 101.47 90.00
Space group C2/m (No. 12)
One atom of each set of equivalent atoms:
Li: 0.000 0.000 0.000 (multiplicity 2)
As: 0.247 0.500 0.159 (multiplicity 4)
Pb: 0.000 0.500 0.500 (multiplicity 2)

The calculated volume comes out at 183 Å³/cell. For the energy, the calculation gives -3.907 eV/atom. For the density of states at the Fermi level, the calculation gives 2.640 states/eV per cell.

VASP calculation (PBE-GGA) on a geometry-optimized Li2AsPb2 structure.

Lattice parameters (Å, degrees): 4.408 4.408 12.419 90.00 90.00 90.00
Space group I4/mmm (No. 139)
One atom of each set of equivalent atoms:
Li: 0.000 0.000 0.093 (multiplicity 4)
As: 0.000 0.000 0.500 (multiplicity 2)
Pb: 0.000 0.500 0.250 (multiplicity 4)

The calculated volume comes out at 241 Å³/cell. For the density of states at the Fermi level, the calculation gives 3.696 states/eV per cell. As for the energy relative to the lowest polymorph listed for this composition: 323 meV/atom.

VASP calculation (PBE-GGA) on a geometry-optimized LiAs2Pb structure.

Lattice parameters (Å, degrees): 12.538 3.607 4.341 90.00 110.00 90.00
Space group Cm (No. 8)
One atom of each set of equivalent atoms:
Li: 0.000 0.000 0.000 (multiplicity 2)
As: 0.008 0.500 0.524 (multiplicity 2)
As: 0.348 0.500 0.307 (multiplicity 2)
Pb: 0.227 0.000 0.685 (multiplicity 2)

The calculated volume comes out at 184 Å³/cell. For the energy, the calculation gives -3.882 eV/atom. For the density of states at the Fermi level, the calculation gives 1.068 states/eV per cell.

VASP calculation (PBE-GGA) on a geometry-optimized LiAs2Pb structure.

Lattice parameters (Å, degrees): 3.6611 3.6611 24.4181 90.00 90.00 120.00
Space group R3m (No. 160, hexagonal axes)
One atom of each set of equivalent atoms:
Li: 0.0000 0.0000 0.0000 (multiplicity 3)
As: 0.0000 0.0000 0.4674 (multiplicity 3)
As: 0.0000 0.0000 0.7425 (multiplicity 3)
Pb: 0.0000 0.0000 0.2365 (multiplicity 3)

The calculated volume comes out at 283 Å³/cell. For the energy, the calculation gives -3.798 eV/atom. For the density of states at the Fermi level, the calculation gives 3.815 states/eV per cell.

VASP calculation (PBE-GGA) on a geometry-optimized LiAsPb4 structure.

Lattice parameters (Å, degrees): 9.064 9.064 9.064 90.00 90.00 90.00
Space group F-43m (No. 216)
One atom of each set of equivalent atoms:
Li: 0.000 0.000 0.000 (multiplicity 4)
As: 0.250 0.250 0.250 (multiplicity 4)
Pb: 0.125 0.125 0.625 (multiplicity 16)

The calculated volume comes out at 745 Å³/cell. For the energy, the calculation gives -3.286 eV/atom. For the density of states at the Fermi level, the calculation gives 8.321 states/eV per cell.

VASP calculation (PBE-GGA) on a geometry-optimized Li2AsPb2 structure.

Lattice parameters (Å, degrees): 8.225 8.225 3.389 90.00 90.00 90.00
Space group P4/mbm (No. 127)
One atom of each set of equivalent atoms:
Li: 0.159 0.341 0.000 (multiplicity 4)
As: 0.000 0.000 0.500 (multiplicity 2)
Pb: 0.142 0.642 0.500 (multiplicity 4)

The calculated volume comes out at 229 Å³/cell. For the density of states at the Fermi level, the calculation gives 4.564 states/eV per cell. As for the energy relative to the lowest polymorph listed for this composition: 161 meV/atom.

VASP calculation (PBE-GGA) on a geometry-optimized Li2AsPb structure.

Lattice parameters (Å, degrees): 4.3216 4.3216 15.9393 90.00 90.00 120.00
Space group R3m (No. 160, hexagonal axes)
One atom of each set of equivalent atoms:
Li: 0.0000 0.0000 0.0000 (multiplicity 3)
Li: 0.0000 0.0000 0.2468 (multiplicity 3)
As: 0.0000 0.0000 0.6129 (multiplicity 3)
Pb: 0.0000 0.0000 0.7976 (multiplicity 3)

The calculated volume comes out at 258 Å³/cell. For the density of states at the Fermi level, the calculation gives 4.622 states/eV per cell. As for the energy relative to the lowest polymorph listed for this composition: 14 meV/atom.

VASP calculation (PBE-GGA) on a geometry-optimized LiAs2Pb structure.

Lattice parameters (Å, degrees): 4.363 4.363 9.268 90.00 90.00 90.00
Space group I-4m2 (No. 119)
One atom of each set of equivalent atoms:
Li: 0.000 0.000 0.000 (multiplicity 2)
As: 0.000 0.000 0.500 (multiplicity 2)
As: 0.000 0.500 0.250 (multiplicity 2)
Pb: 0.000 0.500 0.750 (multiplicity 2)

The calculated volume comes out at 176 Å³/cell. For the energy, the calculation gives -3.711 eV/atom. For the density of states at the Fermi level, the calculation gives 5.460 states/eV per cell.

VASP calculation (PBE-GGA) on a geometry-optimized Li2AsPb structure.

Lattice parameters (Å, degrees): 8.361 3.135 6.316 90.00 99.00 90.00
Space group C2/m (No. 12)
One atom of each set of equivalent atoms:
Li: 0.238 0.000 0.185 (multiplicity 4)
As: 0.000 0.500 0.000 (multiplicity 2)
Pb: 0.000 0.000 0.500 (multiplicity 2)

The calculated volume comes out at 164 Å³/cell. For the density of states at the Fermi level, the calculation gives 1.847 states/eV per cell. As for the energy relative to the lowest polymorph listed for this composition: 57 meV/atom.